1.
# ZnFeRePt

A geometry-optimized ZnFeRePt structure (PBE-GGA, OQMD via LeMat-Bulk).

Geometry as POSCAR:
```
ZnFeRePt
1.0
6.097 0.000 0.000
0.000 6.097 0.000
0.000 0.000 6.097
Zn Fe Re Pt
4 4 4 4
Direct
0.000 0.000 0.000
0.000 0.500 0.500
0.500 0.000 0.500
0.500 0.500 0.000
0.250 0.250 0.250
0.250 0.750 0.750
0.750 0.250 0.750
0.750 0.750 0.250
0.250 0.250 0.750
0.250 0.750 0.250
0.750 0.250 0.250
0.750 0.750 0.750
0.000 0.000 0.500
0.000 0.500 0.000
0.500 0.000 0.000
0.500 0.500 0.500
```

Summary:
Formation energy from the elements ... 0.263 eV per atom
Energy above the lowest structure with this stoichiometry ... 86 meV/atom

2.
# Fe2PtS2

A geometry-optimized Fe2PtS2 structure (PBE-GGA, OQMD via LeMat-Bulk).

Geometry as POSCAR:
```
Fe2PtS2
1.0
3.428 0.000 0.000
0.000 3.428 0.000
0.000 0.000 6.449
Fe Pt S
2 1 2
Direct
0.000 0.000 0.182
0.000 0.000 0.818
0.500 0.500 0.000
0.000 0.500 0.500
0.500 0.000 0.500
```

Summary:
Final energy ... -5.8095 eV per atom

3.
# Sr2FePtS6

A geometry-optimized Sr2FePtS6 structure (PBE-GGA, OQMD via LeMat-Bulk).

Geometry as POSCAR:
```
Sr2FePtS6
1.0
3.482 2.010 4.889
-3.482 2.010 4.889
0.000 -4.020 4.889
Sr Fe Pt S
2 1 1 6
Direct
0.249 0.249 0.249
0.751 0.751 0.751
0.500 0.500 0.500
0.000 0.000 0.000
0.170 0.747 0.335
0.253 0.665 0.830
0.335 0.170 0.747
0.665 0.830 0.253
0.747 0.335 0.170
0.830 0.253 0.665
```

Summary:
Energy above the lowest structure with this stoichiometry ... 0 meV/atom